This record from Alexandria via LeMat-Bulk describes a geometry-optimized NaCaHBr2 structure. The functional is PBE-GGA.

Cell: 5.743 5.743 4.239 Å, 90.00 90.00 90.00°
Positions (direct):
Na: 0.000 0.000 0.000
Ca: 0.500 0.500 0.500
H: 0.500 0.500 0.000
Br: 0.000 0.500 0.500
Br: 0.500 0.000 0.500

Calculated values
- ρ: 2.66 g/cm3
- SG: P4/mmm, No. 123
- Magnetization: 0.00 μB/f.u.
- Energy: -3.243 eV/atom